(1)
First-principles (PBE-GGA) data for a geometry-optimized Pa3Bi4Pd structure, as listed in Alexandria.

Cell: 6.4015 10.9233 6.7081 Å, 90.00 90.00 90.00°
Atoms (fractional coordinates):
Bi1 0.5535 0.0561 0.5000
Bi2 0.0535 0.9439 0.0000
Bi3 0.6407 0.6219 0.7563
Bi4 0.4312 0.1471 0.0000
Bi5 0.1407 0.3781 0.2563
Bi6 0.1407 0.3781 0.7437
Bi7 0.6407 0.6219 0.2437
Bi8 0.9312 0.8529 0.5000
Pd1 0.8887 0.1957 0.0000
Pd2 0.3887 0.8043 0.5000
Pa1 0.6475 0.3291 0.6972
Pa2 0.1475 0.6709 0.8028
Pa3 0.0654 0.1298 0.5000
Pa4 0.6475 0.3291 0.3028
Pa5 0.5654 0.8702 0.0000
Pa6 0.1475 0.6709 0.1972

## Properties
Total magnetic moment, μB/cell: 3.310
Energy of formation from the pure elements, eV per atom: 0.060
E, eV/atom: -6.090

(2)
First-principles (PBE-GGA) data for a geometry-optimized BaGa2FeHg structure, as listed in Alexandria.

Cell: 4.7337 4.7337 5.2057 Å, 90.00 90.00 90.00°
Atoms (fractional coordinates):
Hg1 0.0000 0.0000 0.5000
Fe1 0.0000 0.0000 0.0000
Ga1 0.0000 0.5000 0.0000
Ga2 0.5000 0.0000 0.0000
Ba1 0.5000 0.5000 0.5000

## Properties
Total magnetic moment, μB/cell: 0.000
Energy of formation from the pure elements, eV per atom: -0.251
E, eV/atom: -3.599

(3)
First-principles (PBE-GGA) data for a geometry-optimized ThUN2 structure, as listed in Alexandria.

Cell: 3.4258 3.4258 6.5692 Å, 74.89 74.89 60.00°
Atoms (fractional coordinates):
N1 0.0884 0.0884 0.7349
N2 0.2435 0.2435 0.2696
Th1 0.6707 0.6707 0.9880
U1 0.4975 0.4975 0.5074

## Properties
Total magnetic moment, μB/cell: 1.918
E, eV/atom: -9.990
Energy relative to the elements, uncorrected, eV/f.u.: -4.60

(4)
First-principles (PBE-GGA) data for a geometry-optimized NaSbSe2 structure, as listed in Alexandria.

Cell: 10.1496 10.1496 10.1496 Å, 19.34 19.34 19.34°
Atoms (fractional coordinates):
Se1 0.0937 0.0937 0.0937
Se2 0.9063 0.9063 0.9063
Sb1 0.0000 0.0000 0.0000
Na1 0.5000 0.5000 0.5000

## Properties
Total magnetic moment, μB/cell: 0.000
E, eV/atom: -3.218
Energy relative to the elements, uncorrected, eV/f.u.: -0.46

(5)
First-principles (PBE-GGA) data for a geometry-optimized Pr2TmAl4Pt3 structure, as listed in Alexandria.

Cell: 4.2784 4.2784 11.4999 Å, 90.00 90.00 90.00°
Atoms (fractional coordinates):
Pr1 0.0000 0.5000 0.7703
Pr2 0.5000 0.0000 0.2297
Tm1 0.5000 0.5000 0.5000
Pt1 0.0000 0.5000 0.1203
Pt2 0.0000 0.0000 0.5000
Pt3 0.5000 0.0000 0.8797
Al1 0.5000 0.0000 0.6656
Al2 0.0000 0.5000 0.3344
Al3 0.5000 0.5000 0.0000
Al4 0.0000 0.0000 0.0000

## Properties
Total magnetic moment, μB/cell: 0.000
Energy of formation from the pure elements, eV per atom: -0.923
E, eV/atom: -5.635

(6)
First-principles (PBE-GGA) data for a geometry-optimized LaPuNiHg structure, as listed in Alexandria.

Cell: 5.2126 5.2126 5.2126 Å, 60.00 60.00 60.00°
Atoms (fractional coordinates):
Hg1 0.7500 0.7500 0.7500
La1 0.5000 0.5000 0.5000
Pu1 0.0000 0.0000 0.0000
Ni1 0.2500 0.2500 0.2500

## Properties
Total magnetic moment, μB/cell: 5.801
Energy of formation from the pure elements, eV per atom: -0.084
E, eV/atom: -6.420

(7)
First-principles (PBE-GGA) data for a geometry-optimized CoNi3W structure, as listed in Alexandria.

Cell: 4.3327 4.3327 8.6203 Å, 104.55 104.55 90.00°
Atoms (fractional coordinates):
W1 0.5740 0.0740 0.1481
W2 0.9260 0.4260 0.8519
Ni1 0.1250 0.8739 0.7478
Ni2 0.3367 0.3367 0.6733
Ni3 0.6228 0.8739 0.7478
Ni4 0.6633 0.6633 0.3267
Ni5 0.1261 0.3772 0.2522
Ni6 0.1261 0.8750 0.2522
Co1 0.2500 0.7500 0.5000
Co2 0.0000 0.0000 0.0000

## Properties
Total magnetic moment, μB/cell: 2.342
Energy of formation from the pure elements, eV per atom: 0.786
E, eV/atom: -6.695
Excess energy over the best structure of this formula in the dataset, kcal/mol of atoms: 0.00

(8)
First-principles (PBE-GGA) data for a geometry-optimized RbNdAsO4 structure, as listed in Alexandria.

Cell: 6.5720 6.5720 6.5720 Å, 60.00 60.00 60.00°
Atoms (fractional coordinates):
O1 0.3622 0.9134 0.3622
O2 0.9134 0.3622 0.3622
O3 0.3622 0.3622 0.9134
O4 0.3622 0.3622 0.3622
Nd1 0.5000 0.5000 0.5000
Rb1 0.7500 0.7500 0.7500
As1 0.2500 0.2500 0.2500

## Properties
Total magnetic moment, μB/cell: 0.502
E, eV/atom: -6.113
Energy relative to the elements, uncorrected, eV/f.u.: -12.57

(9)
First-principles (PBE-GGA) data for a geometry-optimized PaSbC structure, as listed in Alexandria.

Cell: 4.2314 4.2444 7.4305 Å, 90.00 90.00 90.00°
Atoms (fractional coordinates):
C1 0.7500 0.2500 0.0001
C2 0.2500 0.7500 0.9999
Pa1 0.2500 0.2500 0.1381
Pa2 0.7500 0.7500 0.8619
Sb1 0.2500 0.7500 0.4993
Sb2 0.7500 0.2500 0.5007

## Properties
Total magnetic moment, μB/cell: 0.000
E, eV/atom: -7.955
Excess energy over the best structure of this formula in the dataset, kcal/mol of atoms: 0.00
Energy relative to the elements, uncorrected, eV/f.u.: -1.02

(10)
First-principles (PBE-GGA) data for a geometry-optimized Na2Cd2BiPd5 structure, as listed in Alexandria.

Cell: 4.0298 9.9267 9.9267 Å, 90.00 90.00 90.00°
Atoms (fractional coordinates):
Pd1 0.5000 0.5636 0.6998
Pd2 0.5000 0.8002 0.9364
Pd3 0.5000 0.9364 0.1998
Pd4 0.5000 0.1998 0.0636
Pd5 0.5000 0.0636 0.8002
Pd6 0.5000 0.4364 0.3002
Pd7 0.5000 0.3002 0.5636
Pd8 0.5000 0.5000 0.0000
Pd9 0.5000 0.6998 0.4364
Pd10 0.5000 0.0000 0.5000
Cd1 0.0000 0.3717 0.1283
Cd2 0.0000 0.8717 0.3717
Cd3 0.0000 0.1283 0.6283
Cd4 0.0000 0.6283 0.8717
Bi1 0.0000 0.5000 0.5000
Bi2 0.0000 0.0000 0.0000
Na1 0.0000 0.1709 0.3291
Na2 0.0000 0.6709 0.1709
Na3 0.0000 0.3291 0.8291
Na4 0.0000 0.8291 0.6709

## Properties
Total magnetic moment, μB/cell: 0.000
Energy of formation from the pure elements, eV per atom: -0.235
E, eV/atom: -3.667

(11)
First-principles (PBE-GGA) data for a geometry-optimized Pm4MgGe2 structure, as listed in Alexandria.

Cell: 5.0859 5.0859 9.6173 Å, 74.67 74.67 60.00°
Atoms (fractional coordinates):
Pm1 0.2099 0.2099 0.3703
Pm2 0.7901 0.7901 0.6297
Pm3 0.3813 0.3813 0.8562
Pm4 0.6187 0.6187 0.1438
Ge1 0.0985 0.0985 0.7045
Ge2 0.9015 0.9015 0.2955
Mg1 0.0000 0.0000 0.0000

## Properties
Total magnetic moment, μB/cell: 0.000
Energy of formation from the pure elements, eV per atom: -0.354
E, eV/atom: -4.615

(12)
First-principles (PBE-GGA) data for a geometry-optimized Ce9Ho4Tl11 structure, as listed in Alexandria.

Cell: 3.3975 14.2857 14.2857 Å, 99.71 90.00 90.00°
Atoms (fractional coordinates):
Tl1 0.0000 0.5790 0.9288
Tl2 0.0000 0.0000 0.0000
Tl3 0.0000 0.8365 0.1635
Tl4 0.0000 0.2467 0.2467
Tl5 0.0000 0.1635 0.8365
Tl6 0.0000 0.0712 0.4210
Tl7 0.0000 0.3615 0.6385
Tl8 0.0000 0.4210 0.0712
Tl9 0.0000 0.6385 0.3615
Tl10 0.0000 0.9288 0.5790
Tl11 0.0000 0.7533 0.7533
Ce1 0.5000 0.0414 0.2101
Ce2 0.5000 0.8591 0.3692
Ce3 0.5000 0.7899 0.9586
Ce4 0.5000 0.1409 0.6308
Ce5 0.5000 0.3692 0.8591
Ce6 0.5000 0.2101 0.0414
Ce7 0.5000 0.9586 0.7899
Ce8 0.5000 0.6308 0.1409
Ce9 0.5000 0.5000 0.5000
Ho1 0.5000 0.4429 0.2691
Ho2 0.5000 0.7309 0.5571
Ho3 0.5000 0.5571 0.7309
Ho4 0.5000 0.2691 0.4429

## Properties
Total magnetic moment, μB/cell: 13.061
Energy of formation from the pure elements, eV per atom: -0.196
E, eV/atom: -4.269